# 1
LaPOs3 | PBE | relaxed

Cell and atoms, written as POSCAR:
```
LaPOs3
1.0
-1.0837 -4.3666 -0.1625
0.9396 -0.3963 4.3850
-4.2675 1.0216 1.0067
P Os La
1 3 1
Direct
0.0000 0.0000 0.0000
0.0000 0.5000 0.0000
0.0000 0.0000 0.5000
0.5000 0.0000 0.0000
0.5000 0.5000 0.5000
```

## Properties
* space group: Pm-3m, No. 221
* crystal system: cubic
* energy above the most stable polymorph in this dataset: 0.000 eV/atom

***

# 2
LaPOs2 | PBE | relaxed

Cell and atoms, written as POSCAR:
```
LaPOs2
1.0
8.6708 -0.1008 -0.0593
8.1532 2.9525 -0.0593
8.1532 1.3820 2.6098
La Os P
1 2 1
Direct
0.2500 0.2500 0.2500
0.0215 0.0215 0.0215
0.4785 0.4785 0.4785
0.7500 0.7500 0.7500
```

## Properties
* space group: R-3m, No. 166
* crystal system: trigonal

***

Number 1: final energy -8.590 eV/atom. Number 2: final energy -7.814 eV/atom.